# 1
A relaxed LiMg5In8 crystal. Source: Alexandria via LeMat-Bulk, functional PBE-GGA.

a b c (Å): 9.249 9.249 8.026
angles (deg): 90.00 90.00 90.00
Space group I-4 (No. 82)
Symmetry-distinct sites (fractional):
Li (0.000, 0.000, 0.000)
Mg (0.000, 0.500, 0.750)
Mg (0.104, 0.354, 0.378)
In (0.036, 0.163, 0.682)
In (0.147, 0.293, 0.014)

Properties
- V: 686 Å³/cell
- Electronic total energy: -32.5 eV per formula unit
- DFT formation energy: -0.047 eV/atom


# 2
A relaxed Li5MgIn6 crystal. Source: Alexandria via LeMat-Bulk, functional PBE-GGA.

a b c (Å): 9.193 13.581 4.538
angles (deg): 90.00 119.09 90.00
Space group C2/m (No. 12)
Symmetry-distinct sites (fractional):
Li (0.000, 0.000, 0.000)
Li (0.000, 0.172, 0.500)
Li (0.000, 0.339, 0.000)
Mg (0.000, 0.500, 0.500)
In (0.232, 0.000, 0.732)
In (0.240, 0.169, 0.238)

Properties
- V: 495 Å³/cell
- Electronic total energy: -30.4 eV per formula unit
- DFT formation energy: -0.237 eV/atom


Q: Among the records above, which one has the highest electronic total energy?
A: Li5MgIn6


Repeat the first record exactly.
A relaxed LiMg5In8 crystal. Source: Alexandria via LeMat-Bulk, functional PBE-GGA.

a b c (Å): 9.249 9.249 8.026
angles (deg): 90.00 90.00 90.00
Space group I-4 (No. 82)
Symmetry-distinct sites (fractional):
Li (0.000, 0.000, 0.000)
Mg (0.000, 0.500, 0.750)
Mg (0.104, 0.354, 0.378)
In (0.036, 0.163, 0.682)
In (0.147, 0.293, 0.014)

Properties
- V: 686 Å³/cell
- Electronic total energy: -32.5 eV per formula unit
- DFT formation energy: -0.047 eV/atom


Q: Which value of DFT formation energy does entry 2 give?
A: -0.237 eV/atom